1) ## BaSc2Mo (PBE)

Data for BaSc2Mo after structural relaxation.

It has space group Fm-3m (No. 225), with a = 7.2834 Å, b = 7.2834 Å, c = 7.2834 Å, α = 90.00°, β = 90.00° and γ = 90.00°. Symmetry generates all atoms from Ba at (0.0000, 0.0000, 0.0000), Sc at (0.2500, 0.2500, 0.2500) and Mo at (0.0000, 0.0000, 0.5000).

The total magnetization is 0.02 μB/f.u. The density of states at the Fermi level is 9.89 states/eV/cell.


2) ## BaSc2Mo (PBE)

Data for BaSc2Mo after structural relaxation.

It has space group Immm (No. 71), with a = 3.3885 Å, b = 6.0484 Å, c = 10.8884 Å, α = 90.00°, β = 90.00° and γ = 90.00°. Symmetry generates all atoms from Ba at (0.0000, 0.0000, 0.0000), Sc at (0.0000, 0.5000, 0.1931) and Mo at (0.0000, 0.0000, 0.5000).

The total magnetization is 0.00 μB/f.u. The density of states at the Fermi level is 10.00 states/eV/cell.


3) ## BaSc2Mo (PBE)

Data for BaSc2Mo after structural relaxation.

It has space group I4_1/amd (No. 141, origin choice 2), with a = 7.5973 Å, b = 7.5973 Å, c = 10.8798 Å, α = 90.00°, β = 90.00° and γ = 90.00°. Symmetry generates all atoms from Ba at (0.0000, 0.2500, 0.3750), Sc at (0.0000, 0.0000, 0.0000) and Mo at (0.0000, 0.2500, 0.8750).

The total magnetization is 0.00 μB/f.u. The density of states at the Fermi level is 0.00 states/eV/cell.


4) ## BaSc2Mo (PBE)

Data for BaSc2Mo after structural relaxation.

It has space group C2/m (No. 12), with a = 6.5662 Å, b = 10.6403 Å, c = 3.1151 Å, α = 90.00°, β = 115.93° and γ = 90.00°. Symmetry generates all atoms from Ba at (0.0000, 0.0000, 0.0000), Sc at (0.2500, 0.2500, 0.5000) and Mo at (0.0000, 0.5000, 0.0000).

The total magnetization is 0.00 μB/f.u. The density of states at the Fermi level is 12.29 states/eV/cell.


Bottom line: 2), by a margin of 77 meV per atom.